No. 1
CsYC PBE relaxed; energy above the lowest structure with this stoichiometry = 291 meV/atom; SG = P1, No. 1; E = -5.1739 eV per atom; ΔE_f = 0.340 eV/atom
1.0
-2.4824 -0.8530 -2.5696
2.6296 -0.1106 -2.5529
4.1234 -13.2618 2.0939
C Cs Y
2 2 2
direct
0.1308 0.6574 0.6076
0.5424 0.2244 0.4194
0.0735 0.3950 0.8285
0.6038 0.4928 0.1988
0.6114 0.1458 0.5964
0.0622 0.7365 0.4307

=====

No. 2
YAl3N PBE relaxed; energy above the lowest structure with this stoichiometry = 0 meV/atom; SG = Pm-3m, No. 221; E = -5.1618 eV per atom; formation energy from raw total energies = 0.042 eV per atom
1.0
4.3627 0.0000 0.0000
0.0000 4.3627 0.0000
0.0000 0.0000 4.3627
Al Y N
3 1 1
direct
0.5000 0.0000 0.0000
0.0000 0.0000 0.5000
0.0000 0.5000 0.0000
0.5000 0.5000 0.5000
0.0000 0.0000 0.0000

=====

No. 3
Li2Zn8Co3 PBE relaxed; SG = Cmmm, No. 65; E = -2.6701 eV per atom; ΔE_f = 0.048 eV/atom
1.0
-3.4849 -0.8858 -2.2105
3.2353 -6.3024 -2.5739
-0.1109 -6.9335 2.9542
Co Li Zn
3 2 8
direct
0.5000 0.0000 0.0000
0.0000 0.6794 0.3206
0.0000 0.3206 0.6794
0.4999 0.2184 0.2184
0.5001 0.7816 0.7816
0.9999 0.1106 0.1106
0.0001 0.8894 0.8894
0.0001 0.6753 0.6753
0.5000 0.5937 0.2073
0.5000 0.7927 0.4063
0.5000 0.4063 0.7927
0.5000 0.2073 0.5937
0.9999 0.3247 0.3247

=====

No. 4
TbPmPt6 PBE relaxed; energy above the lowest structure with this stoichiometry = 0 meV/atom; SG = P4/mmm, No. 123; E = -6.6642 eV per atom; ΔE_f = -0.961 eV/atom
1.0
-2.3295 3.4386 -0.1145
-1.9083 -1.4064 -3.4123
-5.7249 -3.7207 4.7350
Pt Tb Pm
6 1 1
direct
0.5000 0.0000 0.7459
0.0000 0.5000 0.7459
0.5000 0.0000 0.2541
0.0000 0.5000 0.2541
0.5000 0.5000 0.0000
0.5000 0.5000 0.5000
0.0000 0.0000 0.5000
0.0000 0.0000 0.0000

=====

No. 5
BiPSeN2 PBE relaxed; energy above the lowest structure with this stoichiometry = 0 meV/atom; SG = P4/mmm, No. 123; E = -4.8298 eV per atom; formation energy from raw total energies = 1.055 eV per atom
1.0
3.8890 0.0000 0.0000
0.0000 3.8890 0.0000
0.0000 0.0000 4.8762
N Bi P Se
2 1 1 1
direct
0.0000 0.5000 0.0000
0.5000 0.0000 0.0000
0.5000 0.5000 0.5000
0.0000 0.0000 0.0000
0.0000 0.0000 0.5000

=====

No. 6
NdY8Tm6 PBE relaxed; energy above the lowest structure with this stoichiometry = 51 meV/atom; SG = P-3, No. 147; E = -5.3131 eV per atom; ΔE_f = 0.241 eV/atom
1.0
-2.8712 5.5209 -1.9947
3.2052 -1.4739 -8.6928
-8.3524 -3.4180 2.5621
Tm Y Nd
6 8 1
direct
0.5925 0.9095 0.5876
0.4075 0.3219 0.9095
0.5925 0.6781 0.0905
0.5925 0.4124 0.3219
0.4075 0.0905 0.4124
0.4075 0.5876 0.6781
0.0988 0.6597 0.9716
0.8183 0.3333 0.6667
0.9012 0.3403 0.0284
0.9012 0.6882 0.6597
0.0988 0.3118 0.3403
0.9012 0.9716 0.3118
0.1817 0.6667 0.3333
0.0988 0.0284 0.6882
0.5000 0.0000 0.0000